# 1
The following is a DFT calculation (PBE-GGA) of crystalline CsLiV2 at its relaxed geometry.

Cell lengths 4.035, 4.035, 22.960 Å; angles 90.00, 90.00, 90.00 degrees
Space group I-42d (No. 122)
Symmetry-distinct sites (fractional):
1 Cs 0.000 0.000 0.000 x4
2 Li 0.000 0.000 0.500 x4
3 V 0.111 0.750 0.625 x8


# 2
The following is a DFT calculation (PBE-GGA) of crystalline AcNd2Sm2Tm2 at its relaxed geometry.

Cell lengths 11.542, 5.184, 8.173 Å; angles 90.00, 98.24, 90.00 degrees
Space group C2/m (No. 12)
Symmetry-distinct sites (fractional):
1 Ac 0.000 0.000 0.000 x2
2 Nd 0.074 0.500 0.708 x4
3 Sm 0.214 0.500 0.152 x4
4 Tm 0.143 0.000 0.434 x4


Number 1: formation energy from the elements 1.457 eV/atom. Number 2: formation energy from the elements 0.038 eV/atom.